# KPtPb2

Crystalline KPtPb2 at its relaxed geometry (PBE, Alexandria).

Calculated values
Space-group type: C2/m
Size of the total moment: 0.0 μB/f.u.
E_form: 0.176 eV per atom

POSCAR file:
```
KPtPb2
1.0
3.3322 -5.5354 0.0000
3.3322 5.5354 0.0000
-1.4067 0.0000 2.8950
K Pt Pb
1 1 2
Direct
0.0000 0.0000 0.0000
0.5000 0.5000 0.0000
0.0000 0.5000 0.5000
0.5000 0.0000 0.5000
```